Record 1
Density functional theory data (PBE) for crystalline LaDy12In3 at its relaxed geometry.

Results
DFT total energy = -4.45 eV per atom
SG = P4/mmm (123)
Calculated volume = 472 Å³/cell

Cell: 4.8629 4.8629 19.9561 Å, 90.00 90.00 90.00°
Last column: nearest neighbours and their distance in Å.
Fractional positions:
Dy  0.0000  0.5000  0.8658  8 Dy 3.44-3.62, 2 In 3.46, 2 La 3.62
La  0.0000  0.0000  0.0000  12 Dy 3.44-3.62
Dy  0.5000  0.0000  0.3782  4 In 3.42-3.44, 8 Dy 3.42-3.44
Dy  0.5000  0.5000  0.5000  8 Dy 3.44, 4 In 3.44
Dy  0.5000  0.0000  0.1342  8 Dy 3.44-3.62, 2 In 3.46, 2 La 3.62
Dy  0.5000  0.5000  0.0000  4 La 3.44, 8 Dy 3.62
Dy  0.0000  0.5000  0.3782  4 In 3.42-3.44, 8 Dy 3.42-3.44
Dy  0.0000  0.5000  0.6218  4 In 3.42-3.44, 8 Dy 3.42-3.44
In  0.0000  0.0000  0.2578  12 Dy 3.42-3.46
Dy  0.5000  0.5000  0.7425  8 Dy 3.42-3.46, 4 In 3.44
Dy  0.5000  0.0000  0.8658  8 Dy 3.44-3.62, 2 In 3.46, 2 La 3.62
In  0.0000  0.0000  0.7422  12 Dy 3.42-3.46
Dy  0.0000  0.5000  0.1342  8 Dy 3.44-3.62, 2 In 3.46, 2 La 3.62
Dy  0.5000  0.5000  0.2575  8 Dy 3.42-3.46, 4 In 3.44
In  0.0000  0.0000  0.5000  12 Dy 3.44
Dy  0.5000  0.0000  0.6218  4 In 3.42-3.44, 8 Dy 3.42-3.44

---

Record 2
Density functional theory data (PBE) for crystalline LaDyIn4 at its relaxed geometry.

Results
SG = Imm2 (44)
Calculated volume = 164 Å³/cell
Offset from the most stable computed form = 0 meV/atom

Cell: 4.7696 6.3858 6.3858 Å, 71.84 68.07 68.07°
Last column: nearest neighbours and their distance in Å.
Fractional positions:
In  0.8428  0.4467  0.8677  4 In 2.91-3.15
In  0.8428  0.8677  0.4467  4 In 2.91-3.15
In  0.1611  0.0403  0.6376  4 In 2.91-3.02
In  0.1611  0.6376  0.0403  4 In 2.91-3.02
La  0.5529  0.4471  0.4471  10 In 3.42-3.45
Dy  0.4394  0.0606  0.0606  10 In 3.34-3.48

---

Record 3
Density functional theory data (PBE) for crystalline La3Dy4In4 at its relaxed geometry.

Results
DFT total energy = -4.27 eV per atom
SG = Immm (71)
Calculated volume = 338 Å³/cell

Cell: 5.3591 3.7220 17.2457 Å, 96.19 98.94 90.00°
Last column: nearest neighbours and their distance in Å.
Fractional positions:
In  0.5451  0.5451  0.0901  1 In 3.05, 2 Dy 3.11
La  0.0000  0.0000  0.0000  8 In 3.60, 4 Dy 3.63, 2 La 3.72
La  0.6383  0.1383  0.2766  6 In 3.61-3.67, 6 Dy 3.62-3.76, 2 La 3.72
Dy  0.7348  0.7348  0.4696  4 In 3.19-3.33, 4 Dy 3.42
La  0.3617  0.8617  0.7234  6 In 3.61-3.67, 6 Dy 3.62-3.76, 2 La 3.72
Dy  0.9081  0.4081  0.8163  3 In 3.11
In  0.4549  0.4549  0.9099  1 In 3.05, 2 Dy 3.11
In  0.8164  0.3164  0.6328  5 Dy 3.11-3.33
Dy  0.2652  0.2652  0.5304  4 In 3.19-3.33, 4 Dy 3.42
In  0.1836  0.6836  0.3672  5 Dy 3.11-3.33
Dy  0.0919  0.5919  0.1837  3 In 3.11

---

Record 4
Density functional theory data (PBE) for crystalline La2Dy7In2 at its relaxed geometry.

Results
DFT total energy = -4.45 eV per atom
SG = C2/m (12)
Calculated volume = 344 Å³/cell

Cell: 8.6100 6.4934 6.4934 Å, 97.00 78.52 78.52°
Last column: nearest neighbours and their distance in Å.
Fractional positions:
Dy  0.8255  0.8848  0.5260  3 In 3.22-3.46, 1 La 3.46, 2 Dy 3.49-3.59
Dy  0.5910  0.1388  0.1388  2 Dy 3.23-3.36, 1 In 3.39, 4 La 3.43-3.54
In  0.8452  0.3729  0.3729  6 Dy 3.08-3.39, 2 La 3.32
In  0.1548  0.6271  0.6271  6 Dy 3.08-3.39, 2 La 3.32
La  0.5000  0.3241  0.6759  2 In 3.32, 1 La 3.42, 6 Dy 3.43-3.54
Dy  0.1745  0.4740  0.1152  3 In 3.22-3.46, 1 La 3.46, 2 Dy 3.49-3.59
Dy  0.8255  0.5260  0.8848  3 In 3.22-3.46, 1 La 3.46, 2 Dy 3.49-3.59
La  0.5000  0.6759  0.3241  2 In 3.32, 1 La 3.42, 6 Dy 3.43-3.54
Dy  0.1745  0.1152  0.4740  3 In 3.22-3.46, 1 La 3.46, 2 Dy 3.49-3.59
Dy  0.4090  0.8612  0.8612  2 Dy 3.23-3.36, 1 In 3.39, 4 La 3.43-3.54
Dy  0.0000  0.0000  0.0000  2 In 3.08, 2 Dy 3.36

---

Record 5
Density functional theory data (PBE) for crystalline La2DyIn at its relaxed geometry.

Results
SG = P4/mmm (123)
Calculated volume = 132 Å³/cell
Offset from the most stable computed form = 81 meV/atom

Cell: 3.7327 3.7327 9.4677 Å, 90.00 90.00 90.00°
Last column: nearest neighbours and their distance in Å.
Fractional positions:
In  0.5000  0.5000  0.0000  8 La 3.42, 4 In 3.73
La  0.0000  0.0000  0.7710  4 In 3.42, 4 Dy 3.68, 4 La 3.73
La  0.0000  0.0000  0.2290  4 In 3.42, 4 Dy 3.68, 4 La 3.73
Dy  0.5000  0.5000  0.5000  8 La 3.68, 4 Dy 3.73

---

Record 6
Density functional theory data (PBE) for crystalline La2Dy5In4 at its relaxed geometry.

Results
DFT total energy = -3.71 eV per atom
SG = Immm (71)
Calculated volume = 432 Å³/cell

Cell: 3.4834 8.4771 15.3169 Å, 106.06 96.53 90.00°
Last column: nearest neighbours and their distance in Å.
Fractional positions:
La  0.0958  0.0958  0.1917  4 Dy 3.30-3.55, 2 La 3.48
In  0.0000  0.3219  0.0000  1 In 3.02, 2 Dy 3.24
Dy  0.7970  0.9934  0.5940  3 In 3.11-3.34, 5 Dy 3.33-3.48
La  0.9042  0.9042  0.8083  4 Dy 3.30-3.55, 2 La 3.48
In  0.6979  0.6979  0.3957  6 Dy 3.11-3.34, 2 In 3.48
Dy  0.2030  0.0066  0.4060  3 In 3.11-3.34, 5 Dy 3.33-3.48
In  0.0000  0.6781  0.0000  1 In 3.02, 2 Dy 3.24
Dy  0.2030  0.3993  0.4060  3 In 3.11-3.34, 5 Dy 3.33-3.48
Dy  0.5000  0.0000  0.0000  4 In 3.24, 4 La 3.30, 2 Dy 3.48
Dy  0.7970  0.6007  0.5940  3 In 3.11-3.34, 5 Dy 3.33-3.48
In  0.3021  0.3021  0.6043  6 Dy 3.11-3.34, 2 In 3.48